[1]
The following is a GGA-PBE calculation of an optimized crystal structure of Sr3TmS4, from Alexandria via LeMat-Bulk.

Computed properties:
ΔE_f (raw): -2057 meV per atom
Space group: P2/c (13)

a b c (Å): 7.1660 7.2269 8.3157
angles (deg): 90.00 90.00 109.59
Last column: nearest neighbours and their distance in Å.
Element x y z (fractional)
S: 0.9985 0.7724 0.8859  2 Tm 2.80, 4 Sr 2.93-3.08
S: 0.0136 0.7608 0.3605  1 Tm 2.79, 5 Sr 2.93-3.10
S: 0.4864 0.2392 0.3605  1 Tm 2.79, 5 Sr 2.93-3.10
S: 0.5136 0.7608 0.6395  1 Tm 2.79, 5 Sr 2.93-3.10
S: 0.4985 0.7724 0.1141  2 Tm 2.80, 4 Sr 2.93-3.08
S: 0.0015 0.2276 0.1141  2 Tm 2.80, 4 Sr 2.93-3.08
S: 0.9864 0.2392 0.6395  1 Tm 2.79, 5 Sr 2.93-3.10
S: 0.5015 0.2276 0.8859  2 Tm 2.80, 4 Sr 2.93-3.08
Sr: 0.2500 0.5000 0.3745  6 S 2.93-3.10
Sr: 0.7500 0.5000 0.6255  6 S 2.93-3.10
Sr: 0.2500 0.5000 0.8764  6 S 2.93-3.08
Sr: 0.7500 0.0000 0.3750  6 S 2.95-2.96
Sr: 0.7500 0.5000 0.1236  6 S 2.93-3.08
Sr: 0.2500 0.0000 0.6250  6 S 2.95-2.96
Tm: 0.7500 0.0000 0.8774  6 S 2.79-2.80
Tm: 0.2500 0.0000 0.1226  6 S 2.79-2.80

***

[2]
The following is a GGA-PBE calculation of an optimized crystal structure of Te2RhBr, from Alexandria via LeMat-Bulk.

Computed properties:
ΔE_f (raw): -53 meV per atom
Space group: Pmmm (47)

a b c (Å): 3.3742 3.4088 8.1299
angles (deg): 90.00 90.00 90.00
Last column: nearest neighbours and their distance in Å.
Element x y z (fractional)
Br: 0.5000 0.5000 0.2500  4 Br 3.37-3.41, 8 Te 3.45
Te: 0.0000 0.0000 0.5557  4 Rh 2.87, 1 Te 3.16
Te: 0.0000 0.0000 0.9443  4 Rh 2.87, 1 Te 3.16
Rh: 0.5000 0.5000 0.7500  8 Te 2.87

***

| no. | electronic total energy (eV per cell) | DOS(E_F) (states/eV/f.u.) |
| --- | --- | --- |
| 1 | -84.967 | 1.48 |
| 2 | -15.521 | 1.81 |